No. 1
The following is a DFT calculation (GGA-PBE) of crystalline BeBPd at its relaxed geometry.

Cell: 4.1781 4.1781 4.1781 Å, 140.66 140.66 56.86°
Fractional coordinates of all 3 atoms:
Be1 0.0000 0.0000 0.0000
B1 0.6344 0.6344 0.0000
Pd1 0.3094 0.3094 0.0000

Properties
- Space-group type: No. 107
- Density of states at the Fermi level: 0.260 states/eV/atom
- Total DFT energy (no corrections): -5.1204 eV/atom

---

No. 2
The following is a DFT calculation (GGA-PBE) of crystalline BeBPdRh at its relaxed geometry.

Cell: 3.9063 3.9063 3.9063 Å, 60.00 60.00 60.00°
Fractional coordinates of all 4 atoms:
Be1 0.0000 0.0000 0.0000
B1 0.5000 0.5000 0.5000
Pd1 0.2500 0.2500 0.2500
Rh1 0.7500 0.7500 0.7500

Properties
- Space-group type: No. 216
- Density of states at the Fermi level: 0.462 states/eV/atom
- Total DFT energy (no corrections): -5.9601 eV/atom

---

No. 3
The following is a DFT calculation (GGA-PBE) of crystalline BeBPd2Ru at its relaxed geometry.

Cell: 4.7949 4.7949 4.0817 Å, 90.00 90.00 90.00°
Fractional coordinates of all 5 atoms:
Be1 0.0000 0.0000 0.0000
B1 0.5000 0.5000 0.0000
Pd1 0.0000 0.5000 0.5000
Pd2 0.5000 0.0000 0.5000
Ru1 0.0000 0.0000 0.5000

Properties
- Space-group type: No. 123
- Density of states at the Fermi level: 1.455 states/eV/atom
- Total DFT energy (no corrections): -4.1454 eV/atom

---

no.,magnetic moment (Bohr magnetons per cell)
1,0.0
2,0.0
3,0.0